The following is a PBE calculation of an optimized crystal structure of AcTbCd2Au4, from Alexandria via LeMat-Bulk.

Lattice parameters (Å, degrees): 4.9444 4.9444 26.6808 90.00 90.00 120.00
Space group R-3m (No. 166, hexagonal axes)
Asymmetric unit:
Ac 0.0000 0.0000 0.0000 [3 per cell]
Tb 0.0000 0.0000 0.5000 [3 per cell]
Cd 0.0000 0.0000 0.2432 [6 per cell]
Au 0.0000 0.0000 0.1260 [6 per cell]
Au 0.0000 0.0000 0.3896 [6 per cell]

Values from the calculation:
energy of formation from the pure elements: -0.6448 eV/atom

The following is a PBE calculation of an optimized crystal structure of Sc4Co2Pt, from Alexandria via LeMat-Bulk.

Lattice parameters (Å, degrees): 4.4648 4.4648 21.6657 90.00 90.00 120.00
Space group R-3m (No. 166, hexagonal axes)
Asymmetric unit:
Sc 0.0000 0.0000 0.1189 [6 per cell]
Sc 0.0000 0.0000 0.3709 [6 per cell]
Co 0.0000 0.0000 0.2472 [6 per cell]
Pt 0.0000 0.0000 0.5000 [3 per cell]

Values from the calculation:
energy of formation from the pure elements: -0.5489 eV/atom

The following is a PBE calculation of an optimized crystal structure of Ce4CuP3Rh12, from Alexandria via LeMat-Bulk.

Lattice parameters (Å, degrees): 9.009 9.009 9.009 90.00 90.00 90.00
Space group Im-3m (No. 229)
Asymmetric unit:
Ce 0.250 0.250 0.250 [8 per cell]
Cu 0.000 0.000 0.000 [2 per cell]
P 0.000 0.000 0.500 [6 per cell]
Rh 0.000 0.000 0.261 [12 per cell]
Rh 0.000 0.250 0.500 [12 per cell]

Values from the calculation:
energy of formation from the pure elements: -0.5231 eV/atom